(1)
First-principles (PBE) data for PuCo2Tc after structural relaxation, as listed in the Alexandria database.

The value obtained for the formation energy is 0.096 eV per atom. The value obtained for the energy is -9.63 eV per atom. The value obtained for the total magnetization is 0.6 μB/f.u. The energy above the lowest structure with this stoichiometry is 0.0 kJ/mol of atoms.

The space group is P4/mmm (No. 123) and the conventional cell measures 3.879, 3.879 and 3.869 Å, with angles of 90.00, 90.00 and 90.00 degrees. The distinct sites, in fractional coordinates, are Pu at (0.000, 0.000, 0.000), Co at (0.000, 0.500, 0.500) and Tc at (0.500, 0.500, 0.000).



(2)
First-principles (PBE) data for PuCoTc after structural relaxation, as listed in the Alexandria database.

The value obtained for the formation energy is -0.036 eV per atom. The value obtained for the energy is -10.64 eV per atom. The value obtained for the total magnetization is 3.6 μB/f.u. The energy above the lowest structure with this stoichiometry is 0.0 kJ/mol of atoms.

The space group is Imma (No. 74) and the conventional cell measures 5.048, 5.104 and 7.682 Å, with angles of 90.00, 90.00 and 90.00 degrees. The distinct sites, in fractional coordinates, are Pu at (0.000, 0.250, 0.126), Co at (0.000, 0.000, 0.500) and Tc at (0.250, 0.250, 0.750).



(3)
First-principles (PBE) data for Pu2Co3Tc after structural relaxation, as listed in the Alexandria database.

The value obtained for the formation energy is -0.084 eV per atom. The value obtained for the energy is -10.14 eV per atom. The value obtained for the total magnetization is 6.4 μB/f.u.

The space group is C2/m (No. 12) and the conventional cell measures 8.718, 5.017 and 5.160 Å, with angles of 90.00, 124.23 and 90.00 degrees. The distinct sites, in fractional coordinates, are Pu at (0.125, 0.000, 0.374), Co at (0.000, 0.500, 0.000), Co at (0.250, 0.250, 0.000) and Tc at (0.000, 0.500, 0.500).